1.
Density functional theory data (GGA-PBE) for a relaxed Ba2Al5Ga3 crystal.

Calculated values
* total moment: 0.0 μB/f.u.
* ΔH_f (0 K): -0.33 eV/atom

```
10
Lattice="4.553 0.000 0.000 0.000 4.553 0.000 0.000 0.000 11.264" Properties=species:S:1:pos:R:3 pbc="T T T"
Ba 2.276 0.000 2.847
Ba 0.000 2.276 8.418
Al 2.276 2.276 0.000
Al 0.000 0.000 0.000
Al 2.276 0.000 9.772
Al 0.000 2.276 1.492
Al 2.276 2.276 5.632
Ga 2.276 0.000 7.091
Ga 0.000 2.276 4.174
Ga 0.000 0.000 5.632
```


2.
Density functional theory data (GGA-PBE) for a relaxed KTa2Re crystal.

Calculated values
* total moment: 0.0 μB/f.u.
* ΔH_f (0 K): 0.83 eV/atom

```
4
Lattice="-1.279 2.445 0.215 -2.032 -0.919 -1.640 -5.386 -3.581 8.682" Properties=species:S:1:pos:R:3 pbc="T T T"
K -2.786 -1.852 4.491
Re -5.889 -2.052 6.112
Ta -5.353 -3.560 8.629
Ta -2.747 0.037 1.047
```


Which of these has the highest ΔH_f (0 K)?
KTa2Re


What is the formula in the first record?
Ba2Al5Ga3


Which formula does entry 2 have?
KTa2Re